This record from Alexandria describes a relaxed structure of Tb2Mg3Ga4. The functional is PBE-GGA.

CIF file:
```
data_Tb2Mg3Ga4
_space_group_name_H-M_alt 'C m c e'
_space_group_IT_number 64
_space_group_name_Hall '-C 2ac 2'
_cell_length_a 6.053
_cell_length_b 16.512
_cell_length_c 7.683
_cell_angle_alpha 90.00
_cell_angle_beta 90.00
_cell_angle_gamma 90.00
loop_
_atom_site_label
_atom_site_type_symbol
_atom_site_fract_x
_atom_site_fract_y
_atom_site_fract_z
Tb1 Tb 0.000 0.098 0.097
Mg1 Mg 0.000 0.000 0.500
Mg2 Mg 0.250 0.235 0.750
Ga1 Ga 0.000 0.165 0.478
Ga2 Ga 0.250 0.066 0.750
```

Values from the calculation:
Formation enthalpy at 0 K ... -0.36 eV/atom
DOS at the Fermi energy ... 21.4 states/eV/cell
Total moment ... 0.0 Bohr magnetons per cell